Record 1
Tb2HfCl | PBE-GGA | optimized geometry

a b c (Å): 3.2768 3.2768 32.8447
angles (deg): 90.00 90.00 120.00
Space group R-3m (No. 166, hexagonal axes)
Symmetry-distinct sites (fractional):
Tb (0.0000, 0.0000, 0.0977) (multiplicity 6)
Hf (0.0000, 0.0000, 0.0000) (multiplicity 3)
Cl (0.0000, 0.0000, 0.5000) (multiplicity 3)

Summary:
uncorrected formation energy = -0.241 eV/atom
VASP energy = -5.51 eV/atom

***

Record 2
HfTc3Cl | PBE-GGA | optimized geometry

a b c (Å): 4.3698 4.3698 4.3698
angles (deg): 90.00 90.00 90.00
Space group Pm-3m (No. 221)
Symmetry-distinct sites (fractional):
Hf (0.0000, 0.0000, 0.0000) (multiplicity 1)
Tc (0.0000, 0.5000, 0.5000) (multiplicity 3)
Cl (0.5000, 0.5000, 0.5000) (multiplicity 1)

Summary:
uncorrected formation energy = 0.654 eV/atom
VASP energy = -7.93 eV/atom

***

Record 3
HfTc2Cl | PBE-GGA | optimized geometry

a b c (Å): 6.4142 6.4142 6.4142
angles (deg): 90.00 90.00 90.00
Space group Fm-3m (No. 225)
Symmetry-distinct sites (fractional):
Hf (0.0000, 0.0000, 0.0000) (multiplicity 4)
Tc (0.2500, 0.2500, 0.2500) (multiplicity 8)
Cl (0.0000, 0.0000, 0.5000) (multiplicity 4)

Summary:
uncorrected formation energy = 0.695 eV/atom
VASP energy = -7.44 eV/atom

***

- The lowest uncorrected formation energy belongs to which entry?
  Tb2HfCl

***

- Which value of VASP energy does entry 2 give?
  -7.93 eV/atom

***

- Which formula does entry 1 have?
  Tb2HfCl